## CoRe2 (PBE)

Data for crystalline CoRe2 at its relaxed geometry.

```
data_CoRe2
_cell_length_a 4.3364
_cell_length_b 4.3364
_cell_length_c 2.6164
_cell_angle_alpha 90.00
_cell_angle_beta 90.00
_cell_angle_gamma 120.00
_symmetry_space_group_name_H-M 'P 6/m m m'
_symmetry_Int_Tables_number 191
_symmetry_space_group_name_Hall '-P 6 2'
loop_
_atom_site_label
_atom_site_type_symbol
_atom_site_fract_x
_atom_site_fract_y
_atom_site_fract_z
Co1 Co 0.0000 0.0000 0.0000
Re1 Re 0.3333 0.6667 0.5000
```

Energy relative to the lowest polymorph listed for this composition   363 meV per atom
Total energy   -10.3269 eV/atom
Magnetization   0.34 μB per formula unit
Calculated formation energy   0.340 eV/atom
Density of states at the Fermi level   0.651 states/eV per atom

## CoRe5 (PBE)

Data for crystalline CoRe5 at its relaxed geometry.

```
data_CoRe5
_cell_length_a 7.1984
_cell_length_b 7.1984
_cell_length_c 7.1984
_cell_angle_alpha 90.00
_cell_angle_beta 90.00
_cell_angle_gamma 90.00
_symmetry_space_group_name_H-M 'F -4 3 m'
_symmetry_Int_Tables_number 216
_symmetry_space_group_name_Hall 'F -4 2 3'
loop_
_atom_site_label
_atom_site_type_symbol
_atom_site_fract_x
_atom_site_fract_y
_atom_site_fract_z
Co1 Co 0.0000 0.0000 0.0000
Re1 Re 0.1259 0.1259 0.6259
Re2 Re 0.2500 0.2500 0.2500
```

Energy relative to the lowest polymorph listed for this composition   515 meV per atom
Total energy   -11.0438 eV/atom
Magnetization   1.54 μB per formula unit
Calculated formation energy   0.514 eV/atom
Density of states at the Fermi level   0.678 states/eV per atom